[1]
Y2HoSb: optimized geometry, PBE.

Summary:
polymorph energy (0 for the lowest one): 0.91 eV/f.u.
D(E_F): 1.08 states/eV per atom
final energy: -5.756 eV/atom

Structure (POSCAR):
```
Y2HoSb
1.0
2.004 1.157 9.426
-2.004 1.157 9.426
0.000 -2.314 9.426
Y Ho Sb
2 1 1
Cartesian
0.000 0.000 0.000 Y
0.000 0.000 5.577 Y
0.000 0.000 21.629 Ho
0.000 0.000 16.941 Sb
```


[2]
Pm4CuSb: optimized geometry, PBE.

Summary:
D(E_F): 1.19 states/eV per atom
final energy: -4.835 eV/atom

Structure (POSCAR):
```
Pm4CuSb
1.0
2.766 -10.221 0.000
2.766 10.221 0.000
0.000 0.000 6.431
Pm Cu Sb
8 2 2
Cartesian
2.766 9.166 3.216 Pm
2.766 6.050 1.620 Pm
2.766 6.047 4.809 Pm
2.766 2.166 3.216 Pm
2.766 -2.166 0.000 Pm
2.766 -6.047 1.593 Pm
2.766 -6.050 4.836 Pm
2.766 -9.166 0.000 Pm
2.766 8.510 6.424 Cu
2.766 -8.510 3.208 Cu
2.766 3.034 6.431 Sb
2.766 -3.034 3.216 Sb
```


[3]
GaIF3: optimized geometry, PBE.

Summary:
polymorph energy (0 for the lowest one): 5.66 eV/f.u.
D(E_F): 0.31 states/eV per atom
final energy: -2.920 eV/atom

Structure (POSCAR):
```
GaIF3
1.0
4.806 0.000 0.000
0.000 4.806 0.000
0.000 0.000 4.806
Ga I F
1 1 3
Cartesian
0.000 0.000 0.000 Ga
2.403 2.403 2.403 I
0.000 2.403 2.403 F
2.403 0.000 2.403 F
2.403 2.403 0.000 F
```


[4]
VFeCoRh: optimized geometry, PBE.

Summary:
polymorph energy (0 for the lowest one): 0.48 eV/f.u.
D(E_F): 1.67 states/eV per atom
formation energy: -0.19 eV per formula unit
final energy: -8.056 eV/atom

Structure (POSCAR):
```
VFeCoRh
1.0
0.000 2.946 2.946
2.946 0.000 2.946
2.946 2.946 0.000
V Fe Co Rh
1 1 1 1
Cartesian
0.000 0.000 0.000 V
2.946 2.946 2.946 Fe
4.419 4.419 4.419 Co
1.473 1.473 1.473 Rh
```


[5]
Mg2AlOs: optimized geometry, PBE.

Summary:
D(E_F): 0.86 states/eV per atom
formation energy: 0.54 eV per formula unit
final energy: -4.406 eV/atom

Structure (POSCAR):
```
Mg2AlOs
1.0
2.763 -4.310 0.000
2.763 4.310 0.000
0.000 0.000 2.773
Mg Al Os
2 1 1
Cartesian
1.382 2.155 0.000 Mg
1.382 -2.155 0.000 Mg
0.000 0.000 1.386 Al
2.763 0.000 1.386 Os
```


[6]
Ni6PtW: optimized geometry, PBE.

Summary:
D(E_F): 1.11 states/eV per atom
formation energy: -0.50 eV per formula unit
final energy: -6.773 eV/atom

Structure (POSCAR):
```
Ni6PtW
1.0
3.632 -5.151 0.000
3.632 5.151 0.000
0.000 0.000 10.342
Ni Pt W
24 4 4
Cartesian
0.000 0.000 0.000 Ni
0.000 0.000 5.171 Ni
1.771 1.277 3.840 Ni
1.771 1.277 6.502 Ni
1.798 1.296 1.258 Ni
1.798 1.296 9.084 Ni
3.632 2.609 2.519 Ni
3.632 2.609 7.823 Ni
1.771 -1.277 3.840 Ni
1.771 -1.277 6.502 Ni
1.798 -1.296 1.258 Ni
1.798 -1.296 9.084 Ni
3.632 0.000 0.000 Ni
3.632 0.000 5.171 Ni
5.466 1.296 1.258 Ni
5.466 1.296 9.084 Ni
5.492 1.277 3.840 Ni
5.492 1.277 6.502 Ni
3.632 -2.609 2.519 Ni
3.632 -2.609 7.823 Ni
5.466 -1.296 1.258 Ni
5.466 -1.296 9.084 Ni
5.492 -1.277 3.840 Ni
5.492 -1.277 6.502 Ni
3.632 2.566 5.171 Pt
3.632 0.000 2.619 Pt
3.632 0.000 7.723 Pt
3.632 -2.566 5.171 Pt
0.000 0.000 2.640 W
0.000 0.000 7.703 W
3.632 2.607 0.000 W
3.632 -2.607 0.000 W
```


[7]
LiCa2TeRh: optimized geometry, PBE.

Summary:
D(E_F): 0.04 states/eV per atom
final energy: -3.831 eV/atom

Structure (POSCAR):
```
LiCa2TeRh
1.0
5.386 0.000 0.000
0.000 5.386 0.000
0.000 0.000 4.688
Li Ca Te Rh
1 2 1 1
Cartesian
0.000 0.000 0.000 Li
0.000 2.693 2.344 Ca
2.693 0.000 2.344 Ca
2.693 2.693 0.000 Te
0.000 0.000 2.344 Rh
```


[8]
KRb2TmCl6: optimized geometry, PBE.

Summary:
D(E_F): 0.00 states/eV per atom
final energy: -3.970 eV/atom

Structure (POSCAR):
```
KRb2TmCl6
1.0
3.952 2.281 6.461
-3.952 2.281 6.461
0.000 -4.563 6.461
K Rb Tm Cl
1 2 1 6
Cartesian
0.000 0.000 0.000 K
0.000 0.000 4.844 Rb
0.000 0.000 14.539 Rb
0.000 0.000 9.692 Tm
-1.837 -1.061 11.191 Cl
0.000 -2.121 8.192 Cl
-1.837 1.061 8.192 Cl
1.837 -1.061 11.191 Cl
0.000 2.121 11.191 Cl
1.837 1.061 8.192 Cl
```


[9]
LuPu2Hf: optimized geometry, PBE.

Summary:
polymorph energy (0 for the lowest one): 0.53 eV/f.u.
D(E_F): 2.86 states/eV per atom
formation energy: 1.20 eV per formula unit
final energy: -10.484 eV/atom

Structure (POSCAR):
```
LuPu2Hf
1.0
0.000 3.708 3.708
3.708 0.000 3.708
3.708 3.708 0.000
Lu Pu Hf
1 2 1
Cartesian
0.000 0.000 0.000 Lu
1.854 1.854 1.854 Pu
5.562 5.562 5.562 Pu
3.708 3.708 3.708 Hf
```


[10]
Ac3CdNi: optimized geometry, PBE.

Summary:
polymorph energy (0 for the lowest one): 0.60 eV/f.u.
D(E_F): 1.47 states/eV per atom
formation energy: -0.44 eV per formula unit
final energy: -3.891 eV/atom

Structure (POSCAR):
```
Ac3CdNi
1.0
5.678 0.000 0.000
0.000 5.678 0.000
0.000 0.000 5.678
Ac Cd Ni
3 1 1
Cartesian
0.000 0.000 2.839 Ac
0.000 2.839 0.000 Ac
2.839 0.000 0.000 Ac
2.839 2.839 2.839 Cd
0.000 0.000 0.000 Ni
```


[11]
CsKU4N8: optimized geometry, PBE.

Summary:
D(E_F): 0.77 states/eV per atom
final energy: -9.206 eV/atom

Structure (POSCAR):
```
CsKU4N8
1.0
3.507 2.025 7.147
-3.507 2.025 7.147
0.000 -4.050 7.147
Cs K U N
1 1 4 8
Cartesian
0.000 0.000 0.000 Cs
0.000 0.000 13.863 K
-1.745 -1.008 10.484 U
0.000 0.000 3.590 U
1.745 -1.008 10.484 U
0.000 2.015 10.484 U
0.000 -1.956 11.515 N
-1.694 0.978 11.515 N
-1.794 -1.036 16.775 N
0.000 0.000 9.589 N
1.694 0.978 11.515 N
0.000 0.000 18.516 N
1.794 -1.036 16.775 N
0.000 2.071 16.775 N
```


[12]
FeS: optimized geometry, PBE.

Summary:
D(E_F): 0.61 states/eV per atom
final energy: -6.810 eV/atom

Structure (POSCAR):
```
FeS
1.0
3.586 0.000 0.000
0.000 3.587 0.000
-0.048 0.000 5.553
Fe S
2 2
Cartesian
0.849 0.897 5.553 Fe
2.690 2.690 0.000 Fe
0.848 2.690 4.333 S
2.690 0.897 1.221 S
```


Which of these has the highest final energy? GaIF3


What is the final energy in the seventh record? -3.831 eV/atom


Which of these has the highest final energy? GaIF3